[1]
The following is a DFT calculation (PBE) of crystalline ZnCdO2 at its relaxed geometry.

Crystal system: monoclinic
E_tot: -0.1543 Ha/atom
E_form (uncorrected): -1174 meV per atom
DOS(E_F): 0.03 states/eV/f.u.

Cell lengths 3.195, 5.268, 6.649 Å; angles 90.00, 103.78, 90.00 degrees
Space group P2_1 (No. 4)
Inequivalent atoms, fractional coordinates:
Zn1 0.189 0.000 0.380
Cd1 0.444 0.987 0.886
O1 0.057 0.803 0.116
O2 0.304 0.734 0.606

[2]
The following is a DFT calculation (PBE) of crystalline Ni2PdC2 at its relaxed geometry.

Formation energy from the elements: 3.498 eV per formula unit
Crystal system: tetragonal
E_tot: -0.2330 Ha/atom
DOS(E_F): 4.19 states/eV/f.u.

Cell lengths 5.239, 5.239, 3.519 Å; angles 90.00, 90.00, 90.00 degrees
Space group P4/mbm (No. 127)
Inequivalent atoms, fractional coordinates:
Ni1 0.164 0.336 0.000
Pd1 0.000 0.000 0.500
C1 0.095 0.595 0.500

[3]
The following is a DFT calculation (PBE) of crystalline BiH3O at its relaxed geometry.

Crystal system: cubic
E_tot: -0.1108 Ha/atom
DOS(E_F): 4.41 states/eV/f.u.

Cell lengths 3.945, 3.945, 3.945 Å; angles 90.00, 90.00, 90.00 degrees
Space group Pm-3m (No. 221)
Inequivalent atoms, fractional coordinates:
Bi1 0.000 0.000 0.000
H1 0.000 0.000 0.500
O1 0.500 0.500 0.500